LiHBr | PBE | relaxed

Cell lengths 9.038, 4.334, 7.419 Å; angles 90.00, 110.11, 90.00 degrees
Sites, in units of the cell vectors:
H 0.498 0.587 0.939
Li 0.137 0.000 0.271
Br 0.827 0.000 0.141
H 0.498 0.087 0.439
H 0.498 0.413 0.939
Br 0.189 0.000 0.958
H 0.498 0.913 0.439
Li 0.881 0.500 0.328
Li 0.881 0.000 0.828
Li 0.137 0.500 0.771
Br 0.189 0.500 0.458
Br 0.827 0.500 0.641

## Properties
space-group type	Cm, No. 8
energy above the most stable polymorph in this dataset	0.000	eV per atom

***

TaRhCl2 | PBE | relaxed

Cell lengths 4.307, 3.133, 5.051 Å; angles 92.04, 90.00, 90.00 degrees
Sites, in units of the cell vectors:
Ta 0.500 0.750 0.750
Cl 0.000 0.535 0.506
Cl 0.000 0.965 0.994
Rh 0.500 0.250 0.250

## Properties
space-group type	P2/m, No. 10
energy above the most stable polymorph in this dataset	0.834	eV per atom
ΔE_f (raw)	0.175	eV/atom

***

LiTi3Cu | PBE | relaxed

Cell lengths 4.683, 4.683, 4.683 Å; angles 90.00, 90.00, 90.00 degrees
Sites, in units of the cell vectors:
Ti 0.500 0.000 0.000
Li 0.500 0.500 0.500
Ti 0.000 0.000 0.500
Cu 0.000 0.000 0.000
Ti 0.000 0.500 0.000

## Properties
space-group type	Pm-3m, No. 221
energy above the most stable polymorph in this dataset	0.000	eV per atom
formation energy from the elements	0.77	eV per atom

***

BaCSe2N | PBE | relaxed

Cell lengths 6.332, 6.332, 5.292 Å; angles 90.00, 90.00, 90.00 degrees
Sites, in units of the cell vectors:
C 0.500 0.500 0.500
Se 0.000 0.500 0.000
Se 0.500 0.000 0.000
N 0.000 0.000 0.500
Ba 0.000 0.000 0.000

## Properties
space-group type	P4/mmm, No. 123
energy above the most stable polymorph in this dataset	1.429	eV per atom
ΔE_f (raw)	2.354	eV/atom

***

MgTi4O6 | PBE | relaxed

Cell lengths 5.175, 5.175, 14.985 Å; angles 90.00, 90.00, 147.15 degrees
Sites, in units of the cell vectors:
O 0.955 0.045 0.662
O 0.045 0.955 0.162
O 0.764 0.236 0.096
O 0.500 0.500 0.000
Ti 0.147 0.853 0.460
Ti 0.401 0.599 0.131
Ti 0.147 0.853 0.040
O 0.236 0.764 0.904
O 0.955 0.045 0.838
Ti 0.599 0.401 0.631
Mg 0.342 0.658 0.750
O 0.500 0.500 0.500
Ti 0.401 0.599 0.369
Ti 0.599 0.401 0.869
Ti 0.853 0.147 0.540
O 0.764 0.236 0.404
Ti 0.853 0.147 0.960
O 0.045 0.955 0.338
O 0.236 0.764 0.596
O 0.689 0.311 0.750
Mg 0.658 0.342 0.250
O 0.311 0.689 0.250

## Properties
space-group type	Cmcm, No. 63
ΔE_f (raw)	-2.643	eV/atom

***

NaTa4Se2 | PBE | relaxed

Cell lengths 4.701, 4.701, 7.323 Å; angles 71.28, 71.28, 90.00 degrees
Sites, in units of the cell vectors:
Ta 0.199 0.199 0.601
Ta 0.000 0.500 0.000
Se 0.612 0.612 0.776
Na 0.000 0.000 0.000
Se 0.388 0.388 0.224
Ta 0.801 0.801 0.399
Ta 0.500 0.000 0.000

## Properties
space-group type	I4/mmm, No. 139
ΔE_f (raw)	1.614	eV/atom

***

Ce3OsSe | PBE | relaxed

Cell lengths 3.889, 8.532, 8.245 Å; angles 99.31, 90.00, 90.00 degrees
Sites, in units of the cell vectors:
Ce 0.250 0.885 0.706
Ce 0.250 0.669 0.009
Ce 0.750 0.331 0.991
Ce 0.750 0.600 0.367
Ce 0.750 0.115 0.294
Os 0.750 0.634 0.738
Ce 0.250 0.400 0.633
Se 0.750 0.137 0.657
Os 0.250 0.366 0.262
Se 0.250 0.863 0.343

## Properties
space-group type	P2_1/m, No. 11
ΔE_f (raw)	-0.662	eV/atom

***

K2CrSbSe4 | PBE | relaxed

Cell lengths 8.474, 8.474, 8.270 Å; angles 119.21, 119.21, 90.11 degrees
Sites, in units of the cell vectors:
Cr 0.000 0.500 0.000
Se 0.219 0.281 0.017
Se 0.204 0.687 0.446
Cr 0.000 0.500 0.500
Se 0.219 0.281 0.483
K 0.000 0.000 0.500
K 0.500 0.500 0.000
Se 0.796 0.313 0.554
Se 0.781 0.719 0.983
K 0.500 0.000 0.500
K 0.500 0.000 0.000
Se 0.187 0.704 0.946
Sb 0.000 0.000 0.000
Se 0.813 0.296 0.054
Sb 0.500 0.500 0.500
Se 0.781 0.719 0.517

## Properties
space-group type	Imma, No. 74
ΔE_f (raw)	-0.683	eV/atom